Record 1
Compound: InFeMo2
Source: the Alexandria database
Functional: PBE
Structure: optimized geometry

a b c (Å): 4.8768 4.8768 4.8768
angles (deg): 131.29 131.29 71.35
Closest atoms and distances in Å follow each position.
Atoms (fractional coordinates):
1 Fe 0.5000 0.5000 0.0000  4 In 2.82, 8 Mo 2.82-2.84
2 In 0.7500 0.2500 0.5000  8 Mo 2.82-2.84, 4 Fe 2.82
3 Mo 0.0000 0.0000 0.0000  4 Mo 2.82, 4 In 2.82, 4 Fe 2.84
4 Mo 0.2500 0.7500 0.5000  4 Fe 2.82, 4 Mo 2.82, 4 In 2.84

Record 2
Compound: InFeMo2
Source: the Alexandria database
Functional: PBE
Structure: optimized geometry

a b c (Å): 3.2789 3.2789 6.1186
angles (deg): 90.00 90.00 90.00
Closest atoms and distances in Å follow each position.
Atoms (fractional coordinates):
1 Fe 0.5000 0.5000 0.2500  8 Mo 2.62
2 In 0.5000 0.5000 0.7500  8 Mo 2.96, 2 Fe 3.06, 4 In 3.28
3 Mo 0.0000 0.0000 0.0513  1 Mo 2.43, 4 Fe 2.62
4 Mo 0.0000 0.0000 0.4487  1 Mo 2.43, 4 Fe 2.62

Record 3
Compound: InFe3Mo
Source: the Alexandria database
Functional: PBE
Structure: optimized geometry

a b c (Å): 4.5213 4.5213 4.5213
angles (deg): 90.00 90.00 90.00
Closest atoms and distances in Å follow each position.
Atoms (fractional coordinates):
1 Mo 0.0000 0.0000 0.0000  6 Fe 2.26
2 Fe 0.0000 0.5000 0.0000  2 Mo 2.26
3 Fe 0.0000 0.0000 0.5000  2 Mo 2.26
4 Fe 0.5000 0.0000 0.0000  2 Mo 2.26
5 In 0.5000 0.5000 0.5000  12 Fe 3.20

Results
Excess energy over the best structure of this formula in the dataset in eV/atom: 0.000

Looking at formation energy for the records above, in order, we have 0.35, 0.28, 1.31 eV per atom.
Looking at volume for the records above, in order, we have 64, 66, 92 Å³/f.u..
Looking at E_tot for the records above, in order, we have -7.865, -7.937, -6.486 eV/atom.